# Ca4AgPb3 | Alexandria via LeMat-Bulk | PBE-GGA | relaxed
data_Ca4AgPb3
_chemical_formula_sum 'Ca4 Ag1 Pb3'
_space_group_name_H-M_alt 'P 1'
_space_group_IT_number 1
_cell_length_a 3.660
_cell_length_b 3.660
_cell_length_c 17.279
_cell_angle_alpha 90.00
_cell_angle_beta 90.00
_cell_angle_gamma 90.00
loop_
_space_group_symop_operation_xyz
'x,y,z'
loop_
_atom_site_label
_atom_site_type_symbol
_atom_site_fract_x
_atom_site_fract_y
_atom_site_fract_z
Pb1 Pb 0.500 0.500 0.237
Pb2 Pb 0.500 0.500 0.500
Pb3 Pb 0.500 0.500 0.763
Ca1 Ca 0.000 0.000 0.110
Ca2 Ca 0.000 0.000 0.890
Ca3 Ca 0.000 0.000 0.367
Ca4 Ca 0.000 0.000 0.633
Ag1 Ag 0.500 0.500 0.000
# DFT total energy: -3.227 eV per atom
# total magnetic moment: 0.000 μB/atom

---

# Ca2Ag3Pb | Alexandria via LeMat-Bulk | PBE-GGA | relaxed
data_Ca2Ag3Pb
_chemical_formula_sum 'Ca2 Ag3 Pb1'
_space_group_name_H-M_alt 'P 1'
_space_group_IT_number 1
_cell_length_a 3.950
_cell_length_b 4.483
_cell_length_c 9.574
_cell_angle_alpha 103.54
_cell_angle_beta 101.90
_cell_angle_gamma 90.00
loop_
_space_group_symop_operation_xyz
'x,y,z'
loop_
_atom_site_label
_atom_site_type_symbol
_atom_site_fract_x
_atom_site_fract_y
_atom_site_fract_z
Pb1 Pb 0.459 0.959 0.917
Ca1 Ca 0.130 0.130 0.261
Ca2 Ca 0.863 0.363 0.726
Ag1 Ag 0.300 0.800 0.600
Ag2 Ag 0.698 0.698 0.397
Ag3 Ag 0.550 0.550 0.099
# DFT total energy: -2.931 eV per atom
# total magnetic moment: 0.000 μB/atom

---

# Ca3Ag3Pb2 | Alexandria via LeMat-Bulk | PBE-GGA | relaxed
data_Ca3Ag3Pb2
_chemical_formula_sum 'Ca12 Ag12 Pb8'
_space_group_name_H-M_alt 'P 1'
_space_group_IT_number 1
_cell_length_a 6.336
_cell_length_b 7.862
_cell_length_c 17.530
_cell_angle_alpha 90.00
_cell_angle_beta 90.00
_cell_angle_gamma 90.00
loop_
_space_group_symop_operation_xyz
'x,y,z'
loop_
_atom_site_label
_atom_site_type_symbol
_atom_site_fract_x
_atom_site_fract_y
_atom_site_fract_z
Ag1 Ag 0.141 0.210 0.250
Ag2 Ag 0.641 0.290 0.750
Ag3 Ag 0.063 0.183 0.521
Ag4 Ag 0.437 0.683 0.521
Ag5 Ag 0.063 0.183 0.979
Ag6 Ag 0.937 0.817 0.021
Ag7 Ag 0.437 0.683 0.979
Ag8 Ag 0.563 0.317 0.479
Ag9 Ag 0.563 0.317 0.021
Ag10 Ag 0.937 0.817 0.479
Ag11 Ag 0.859 0.790 0.750
Ag12 Ag 0.359 0.710 0.250
Pb1 Pb 0.668 0.623 0.384
Pb2 Pb 0.332 0.377 0.616
Pb3 Pb 0.832 0.123 0.116
Pb4 Pb 0.332 0.377 0.884
Pb5 Pb 0.168 0.877 0.616
Pb6 Pb 0.668 0.623 0.116
Pb7 Pb 0.832 0.123 0.384
Pb8 Pb 0.168 0.877 0.884
Ca1 Ca 0.156 0.481 0.109
Ca2 Ca 0.344 0.981 0.109
Ca3 Ca 0.156 0.481 0.391
Ca4 Ca 0.844 0.519 0.609
Ca5 Ca 0.656 0.019 0.891
Ca6 Ca 0.844 0.519 0.891
Ca7 Ca 0.890 0.838 0.250
Ca8 Ca 0.344 0.981 0.391
Ca9 Ca 0.610 0.338 0.250
Ca10 Ca 0.390 0.662 0.750
Ca11 Ca 0.110 0.162 0.750
Ca12 Ca 0.656 0.019 0.609
# DFT total energy: -3.050 eV per atom
# total magnetic moment: 0.000 μB/atom